# 1
Compound: Zn3H2Rh3
Source: Alexandria via LeMat-Bulk
Functional: PBE
Structure: optimized geometry

Lattice parameters (Å, degrees): 2.9561 9.5614 12.8655 90.00 90.00 90.00
With the nearest neighbours (Å) after each atom.
Space group Cmcm (No. 63)
Symmetry-distinct sites (fractional):
Zn: 0.0000 0.0558 0.2500 [4 per cell]  5 Rh 2.53-2.64, 4 H 2.73, 4 Zn 2.75
Zn: 0.0000 0.4128 0.1044 [8 per cell]  2 H 2.41, 7 Rh 2.66-2.69
H: 0.0000 0.2863 0.6161 [8 per cell]  3 Rh 1.78-1.85
Rh: 0.0000 0.1371 0.0632 [8 per cell]  2 H 1.78
Rh: 0.0000 0.2153 0.7500 [4 per cell]  2 H 1.85

Crystal system: orthorhombic
Total DFT energy (no corrections) (eV/f.u.): -34.40
Total magnetic moment (Bohr magnetons per cell): 0.0

# 2
Compound: Zn2HRh4
Source: Alexandria via LeMat-Bulk
Functional: PBE
Structure: optimized geometry

Lattice parameters (Å, degrees): 3.7908 3.7908 12.8780 90.00 90.00 90.00
With the nearest neighbours (Å) after each atom.
Space group I4/mmm (No. 139)
Symmetry-distinct sites (fractional):
Zn: 0.0000 0.0000 0.1481 [4 per cell]  9 Rh 2.50-2.69
H: 0.0000 0.0000 0.5000 [2 per cell]  6 Rh 1.90-2.04
Rh: 0.0000 0.0000 0.3419 [4 per cell]  1 H 2.04
Rh: 0.0000 0.5000 0.0000 [4 per cell]  2 H 1.90

Crystal system: tetragonal
Total DFT energy (no corrections) (eV/f.u.): -35.61
Total magnetic moment (Bohr magnetons per cell): 0.0

# 3
Compound: ZnHRh
Source: Alexandria via LeMat-Bulk
Functional: PBE
Structure: optimized geometry

Lattice parameters (Å, degrees): 3.3464 3.3464 6.8959 90.00 90.00 90.00
With the nearest neighbours (Å) after each atom.
Space group I4mm (No. 107)
Symmetry-distinct sites (fractional):
Zn: 0.0000 0.0000 0.0000 [2 per cell]  5 Rh 2.48-2.72, 5 H 2.52-2.60
H: 0.0000 0.0000 0.3764 [2 per cell]  1 Rh 1.58
Rh: 0.0000 0.0000 0.6060 [2 per cell]  1 H 1.58

Crystal system: tetragonal
Total DFT energy (no corrections) (eV/f.u.): -11.27
Total magnetic moment (Bohr magnetons per cell): 0.0

Copy entry 1 word for word.
Compound: Zn3H2Rh3
Source: Alexandria via LeMat-Bulk
Functional: PBE
Structure: optimized geometry

Lattice parameters (Å, degrees): 2.9561 9.5614 12.8655 90.00 90.00 90.00
With the nearest neighbours (Å) after each atom.
Space group Cmcm (No. 63)
Symmetry-distinct sites (fractional):
Zn: 0.0000 0.0558 0.2500 [4 per cell]  5 Rh 2.53-2.64, 4 H 2.73, 4 Zn 2.75
Zn: 0.0000 0.4128 0.1044 [8 per cell]  2 H 2.41, 7 Rh 2.66-2.69
H: 0.0000 0.2863 0.6161 [8 per cell]  3 Rh 1.78-1.85
Rh: 0.0000 0.1371 0.0632 [8 per cell]  2 H 1.78
Rh: 0.0000 0.2153 0.7500 [4 per cell]  2 H 1.85

Crystal system: orthorhombic
Total DFT energy (no corrections) (eV/f.u.): -34.40
Total magnetic moment (Bohr magnetons per cell): 0.0